Record 1
The following is a DFT calculation (PBE) of a relaxed structure of ReMoSe4.

Values from the calculation:
**E**: -4.618 eV per atom
**Calculated volume**: 118.0 Å³ per cell
**DOS at the Fermi energy**: 3.799 states/eV/cell

Unit cell a=5.5061 b=5.5061 c=5.5061 alpha=60.00 beta=60.00 gamma=60.00
With the nearest neighbours (Å) after each atom.
Sites, in units of the cell vectors:
Re1 0.0000 0.0000 0.0000  12 Se 3.23, 4 Mo 3.37
Mo1 0.2500 0.2500 0.2500  12 Se 3.23, 4 Re 3.37
Se1 0.1244 0.6252 0.6252  6 Se 2.75-2.76
Se2 0.6252 0.1244 0.6252  6 Se 2.75-2.76
Se3 0.6252 0.6252 0.1244  6 Se 2.75-2.76
Se4 0.6252 0.6252 0.6252  6 Se 2.75-2.76

***

Record 2
The following is a DFT calculation (PBE) of a relaxed structure of PmSnPt.

Values from the calculation:
**Energy of formation from the pure elements**: -1.04 eV/atom
**Calculated volume**: 559.6 Å³ per cell
**DOS at the Fermi energy**: 8.686 states/eV/cell

Unit cell a=4.6900 b=14.8939 c=8.0109 alpha=90.00 beta=90.00 gamma=90.00
With the nearest neighbours (Å) after each atom.
Sites, in units of the cell vectors:
Pm1 0.2500 0.0045 0.2080  6 Pt 3.06-3.38, 6 Sn 3.24-3.35
Pm2 0.2500 0.2500 0.2950  6 Sn 3.24-3.27, 6 Pt 3.39-3.43
Pm3 0.2500 0.4955 0.2080  6 Pt 3.06-3.38, 6 Sn 3.24-3.35
Pm4 0.2500 0.7500 0.2926  6 Pt 3.23-3.33, 6 Sn 3.39-3.40
Pm5 0.7500 0.2500 0.7074  6 Pt 3.23-3.33, 6 Sn 3.39-3.40
Pm6 0.7500 0.5045 0.7920  6 Pt 3.06-3.38, 6 Sn 3.24-3.35
Pm7 0.7500 0.7500 0.7050  6 Sn 3.24-3.27, 6 Pt 3.39-3.43
Pm8 0.7500 0.9955 0.7920  6 Pt 3.06-3.38, 6 Sn 3.24-3.35
Sn1 0.2500 0.0978 0.5887  4 Pt 2.72-2.94
Sn2 0.2500 0.4022 0.5887  4 Pt 2.72-2.94
Sn3 0.2500 0.6500 0.9123  3 Pt 2.71-2.74, 1 Sn 2.98
Sn4 0.2500 0.8500 0.9123  3 Pt 2.71-2.74, 1 Sn 2.98
Sn5 0.7500 0.1500 0.0877  3 Pt 2.71-2.74, 1 Sn 2.98
Sn6 0.7500 0.3500 0.0877  3 Pt 2.71-2.74, 1 Sn 2.98
Sn7 0.7500 0.5978 0.4113  4 Pt 2.72-2.94
Sn8 0.7500 0.9022 0.4113  4 Pt 2.72-2.94
Pt1 0.2500 0.1392 0.9195  3 Sn 2.71-2.72
Pt2 0.2500 0.3608 0.9195  3 Sn 2.71-2.72
Pt3 0.2500 0.5997 0.5832  4 Sn 2.72-2.94
Pt4 0.2500 0.9003 0.5832  4 Sn 2.72-2.94
Pt5 0.7500 0.0997 0.4168  4 Sn 2.72-2.94
Pt6 0.7500 0.4003 0.4168  4 Sn 2.72-2.94
Pt7 0.7500 0.6392 0.0805  3 Sn 2.71-2.72
Pt8 0.7500 0.8608 0.0805  3 Sn 2.71-2.72

***

Record 3
The following is a DFT calculation (PBE) of a relaxed structure of BaIrC2.

Values from the calculation:
**Energy of formation from the pure elements**: 0.49 eV/atom
**Calculated volume**: 152.1 Å³ per cell
**DOS at the Fermi energy**: 4.178 states/eV/cell

Unit cell a=6.6024 b=6.6024 c=6.6024 alpha=132.81 beta=132.81 gamma=68.95
With the nearest neighbours (Å) after each atom.
Sites, in units of the cell vectors:
Ba1 0.0000 0.0000 0.0000  4 C 2.99
Ba2 0.7500 0.2500 0.5000  4 C 2.99
Ir1 0.2500 0.7500 0.5000  4 C 1.93
Ir2 0.5000 0.5000 0.0000  4 C 1.93
C1 0.3112 0.6250 0.1862  2 Ir 1.93
C2 0.3750 0.5612 0.6862  2 Ir 1.93
C3 0.4388 0.1250 0.8138  2 Ir 1.93
C4 0.8750 0.6888 0.3138  2 Ir 1.93

***

Record 4
The following is a DFT calculation (PBE) of a relaxed structure of Cs2KSnHg.

Values from the calculation:
**Energy of formation from the pure elements**: -0.02 eV/atom
**Calculated volume**: 299.4 Å³ per cell
**DOS at the Fermi energy**: 3.023 states/eV/cell

Unit cell a=7.3791 b=7.3791 c=5.4979 alpha=90.00 beta=90.00 gamma=90.00
With the nearest neighbours (Å) after each atom.
Sites, in units of the cell vectors:
Cs1 0.0000 0.5000 0.0000  2 Hg 3.69
Cs2 0.5000 0.0000 0.0000  2 Hg 3.69
K1 0.0000 0.0000 0.5000  8 Cs 4.60
Sn1 0.5000 0.5000 0.5000  2 Hg 2.75
Hg1 0.5000 0.5000 0.0000  2 Sn 2.75

***

Record 5
The following is a DFT calculation (PBE) of a relaxed structure of LaMn2Au.

Values from the calculation:
**Energy of formation from the pure elements**: 0.20 eV/atom
**Calculated volume**: 84.3 Å³ per cell
**DOS at the Fermi energy**: 4.623 states/eV/cell

Unit cell a=5.6724 b=5.6724 c=5.6724 alpha=143.37 beta=128.32 gamma=65.01
With the nearest neighbours (Å) after each atom.
Sites, in units of the cell vectors:
La1 0.0000 0.0000 0.0000  4 Au 3.05, 8 Mn 3.15-3.30
Mn1 0.2720 0.7720 0.5000  2 Au 2.82, 4 Mn 3.08, 2 La 3.15
Mn2 0.7280 0.2280 0.5000  2 Au 2.82, 4 Mn 3.08, 2 La 3.15
Au1 0.5000 0.5000 0.0000  4 Mn 2.82, 4 La 3.05

***

Record 6
The following is a DFT calculation (PBE) of a relaxed structure of TaZnTc.

Values from the calculation:
**Energy of formation from the pure elements**: 0.17 eV/atom
**Calculated volume**: 47.3 Å³ per cell
**DOS at the Fermi energy**: 3.328 states/eV/cell

Unit cell a=6.6144 b=6.6144 c=6.6144 alpha=156.15 beta=156.15 gamma=33.98
With the nearest neighbours (Å) after each atom.
Sites, in units of the cell vectors:
Ta1 0.0000 0.0000 0.0000  4 Ta 2.73, 4 Zn 2.88, 4 Tc 2.95
Zn1 0.3315 0.3315 0.0000  4 Zn 2.73, 4 Tc 2.76, 4 Ta 2.88
Tc1 0.6760 0.6760 0.0000  4 Tc 2.73, 4 Zn 2.76, 4 Ta 2.95